NiRuBr2O: relaxed, GGA+U.

```
5
Lattice="4.802 0.000 0.000 0.000 4.802 0.000 0.000 0.000 4.990" Properties=species:S:1:pos:R:3 pbc="T T T"
Ni 0.000 0.000 0.000
Ru 0.000 0.000 2.495
Br 0.000 2.401 0.000
Br 2.401 0.000 0.000
O 2.401 2.401 2.495
```

## Properties
- Fermi-level density of states (states/eV/atom) = 1.14
- space group = P4/mmm, No. 123
- M_tot (μB per cell) = 5.98
- VASP energy (eV/atom) = -2.79